# 1
First-principles (PBE) data for an optimized crystal structure of BaAlAgSe3, as listed in Alexandria.

Cell: 7.155 7.155 8.437 Å, 110.08 110.08 63.99°
Sites, in units of the cell vectors:
Ba (0.201, 0.201, 0.214)
Ba (0.799, 0.799, 0.786)
Al (0.450, 0.450, 0.754)
Al (0.550, 0.550, 0.246)
Ag (0.212, 0.788, 0.500)
Ag (0.788, 0.212, 0.500)
Se (0.178, 0.692, 0.174)
Se (0.244, 0.244, 0.620)
Se (0.308, 0.822, 0.826)
Se (0.692, 0.178, 0.174)
Se (0.756, 0.756, 0.380)
Se (0.822, 0.308, 0.826)

Summary:
formation energy without anion corrections: -0.971 eV per atom

# 2
First-principles (PBE) data for an optimized crystal structure of Cs2NbAgCl6, as listed in Alexandria.

Cell: 7.486 7.486 7.486 Å, 60.00 60.00 60.00°
Sites, in units of the cell vectors:
Cs (0.250, 0.250, 0.250)
Cs (0.750, 0.750, 0.750)
Nb (0.000, 0.000, 0.000)
Ag (0.500, 0.500, 0.500)
Cl (0.238, 0.238, 0.762)
Cl (0.238, 0.762, 0.238)
Cl (0.238, 0.762, 0.762)
Cl (0.762, 0.238, 0.238)
Cl (0.762, 0.238, 0.762)
Cl (0.762, 0.762, 0.238)

Summary:
formation energy without anion corrections: -1.365 eV per atom

# 3
First-principles (PBE) data for an optimized crystal structure of NpCdIrAu, as listed in Alexandria.

Cell: 4.848 4.848 4.848 Å, 60.00 60.00 60.00°
Sites, in units of the cell vectors:
Np (0.000, 0.000, 0.000)
Cd (0.500, 0.500, 0.500)
Ir (0.750, 0.750, 0.750)
Au (0.250, 0.250, 0.250)

# 4
First-principles (PBE) data for an optimized crystal structure of CoNiBiI2, as listed in Alexandria.

Cell: 5.228 5.228 5.176 Å, 90.00 90.00 90.00°
Sites, in units of the cell vectors:
Co (0.000, 0.000, 0.000)
Ni (0.500, 0.500, 0.500)
Bi (0.500, 0.500, 0.000)
I (0.000, 0.500, 0.500)
I (0.500, 0.000, 0.500)

Summary:
formation energy without anion corrections: 0.885 eV per atom

# 5
First-principles (PBE) data for an optimized crystal structure of YTcTe2, as listed in Alexandria.

Cell: 7.068 7.068 7.068 Å, 148.95 148.03 45.17°
Sites, in units of the cell vectors:
Y (0.000, 0.000, 0.000)
Tc (0.245, 0.745, 0.500)
Te (0.401, 0.401, 0.000)
Te (0.677, 0.177, 0.500)

Summary:
formation energy without anion corrections: -0.391 eV per atom
energy above the most stable polymorph in this dataset: 0.241 eV per formula unit

# 6
First-principles (PBE) data for an optimized crystal structure of Sc2OsBr, as listed in Alexandria.

Cell: 9.983 9.983 9.983 Å, 18.65 18.65 18.65°
Sites, in units of the cell vectors:
Sc (0.000, 0.000, 0.000)
Sc (0.235, 0.235, 0.235)
Os (0.507, 0.507, 0.507)
Br (0.732, 0.732, 0.732)

Summary:
formation energy without anion corrections: 0.010 eV per atom
energy above the most stable polymorph in this dataset: 3.040 eV per formula unit

# 7
First-principles (PBE) data for an optimized crystal structure of CsTiNb6Cl18, as listed in Alexandria.

Cell: 9.336 9.336 17.308 Å, 90.00 90.00 120.00°
Sites, in units of the cell vectors:
Cs (0.333, 0.667, 0.250)
Cs (0.667, 0.333, 0.750)
Ti (0.333, 0.667, 0.750)
Ti (0.667, 0.333, 0.250)
Nb (0.049, 0.201, 0.931)
Nb (0.049, 0.848, 0.569)
Nb (0.152, 0.201, 0.569)
Nb (0.152, 0.951, 0.931)
Nb (0.201, 0.049, 0.431)
Nb (0.201, 0.152, 0.069)
Nb (0.799, 0.848, 0.931)
Nb (0.799, 0.951, 0.569)
Nb (0.848, 0.049, 0.069)
Nb (0.848, 0.799, 0.431)
Nb (0.951, 0.152, 0.431)
Nb (0.951, 0.799, 0.069)
Cl (0.057, 0.239, 0.161)
Cl (0.057, 0.818, 0.339)
Cl (0.110, 0.460, 0.833)
Cl (0.110, 0.649, 0.667)
Cl (0.128, 0.416, 0.498)
Cl (0.128, 0.711, 0.002)
Cl (0.182, 0.239, 0.339)
Cl (0.182, 0.943, 0.161)
Cl (0.239, 0.057, 0.661)
Cl (0.239, 0.182, 0.839)
Cl (0.289, 0.416, 0.002)
Cl (0.289, 0.872, 0.498)
Cl (0.351, 0.460, 0.667)
Cl (0.351, 0.890, 0.833)
Cl (0.416, 0.128, 0.998)
Cl (0.416, 0.289, 0.502)
Cl (0.460, 0.110, 0.333)
Cl (0.460, 0.351, 0.167)
Cl (0.540, 0.649, 0.833)
Cl (0.540, 0.890, 0.667)
Cl (0.584, 0.711, 0.498)
Cl (0.584, 0.872, 0.002)
Cl (0.649, 0.110, 0.167)
Cl (0.649, 0.540, 0.333)
Cl (0.711, 0.128, 0.502)
Cl (0.711, 0.584, 0.998)
Cl (0.761, 0.818, 0.161)
Cl (0.761, 0.943, 0.339)
Cl (0.818, 0.057, 0.839)
Cl (0.818, 0.761, 0.661)
Cl (0.872, 0.289, 0.998)
Cl (0.872, 0.584, 0.502)
Cl (0.890, 0.351, 0.333)
Cl (0.890, 0.540, 0.167)
Cl (0.943, 0.182, 0.661)
Cl (0.943, 0.761, 0.839)

Summary:
formation energy without anion corrections: -1.371 eV per atom

# 8
First-principles (PBE) data for an optimized crystal structure of NiTe2Cl, as listed in Alexandria.

Cell: 3.137 3.137 9.928 Å, 90.00 90.00 90.00°
Sites, in units of the cell vectors:
Ni (0.000, 0.000, 0.000)
Te (0.000, 0.000, 0.483)
Te (0.500, 0.500, 0.153)
Cl (0.500, 0.500, 0.845)

Summary:
formation energy without anion corrections: 0.098 eV per atom

# 9
First-principles (PBE) data for an optimized crystal structure of ThTl2Cu, as listed in Alexandria.

Cell: 9.094 9.094 9.094 Å, 149.23 149.23 44.07°
Sites, in units of the cell vectors:
Th (0.142, 0.142, 0.000)
Th (0.858, 0.858, 0.000)
Tl (0.000, 0.500, 0.500)
Tl (0.347, 0.347, 0.000)
Tl (0.500, 0.000, 0.500)
Tl (0.653, 0.653, 0.000)
Cu (0.250, 0.750, 0.500)
Cu (0.750, 0.250, 0.500)

Summary:
energy above the most stable polymorph in this dataset: 0.000 eV per formula unit

# 10
First-principles (PBE) data for an optimized crystal structure of HfPd3Pt, as listed in Alexandria.

Cell: 4.695 5.351 7.407 Å, 90.00 90.00 90.00°
Sites, in units of the cell vectors:
Hf (0.250, 0.250, 0.238)
Hf (0.750, 0.750, 0.762)
Pd (0.250, 0.501, 0.905)
Pd (0.250, 0.750, 0.555)
Pd (0.250, 0.999, 0.905)
Pd (0.750, 0.001, 0.095)
Pd (0.750, 0.250, 0.445)
Pd (0.750, 0.499, 0.095)
Pt (0.250, 0.250, 0.601)
Pt (0.750, 0.750, 0.399)

Summary:
energy above the most stable polymorph in this dataset: 2.144 eV per formula unit

# 11
First-principles (PBE) data for an optimized crystal structure of Mg2ZrAg2, as listed in Alexandria.

Cell: 8.145 8.145 2.929 Å, 90.00 90.00 90.00°
Sites, in units of the cell vectors:
Mg (0.128, 0.372, 0.000)
Mg (0.372, 0.872, 0.000)
Mg (0.628, 0.128, 0.000)
Mg (0.872, 0.628, 0.000)
Zr (0.000, 0.000, 0.000)
Zr (0.500, 0.500, 0.000)
Ag (0.170, 0.670, 0.500)
Ag (0.330, 0.170, 0.500)
Ag (0.670, 0.830, 0.500)
Ag (0.830, 0.330, 0.500)

Summary:
energy above the most stable polymorph in this dataset: 0.035 eV per formula unit

# 12
First-principles (PBE) data for an optimized crystal structure of TiBiIO2, as listed in Alexandria.

Cell: 4.143 4.143 5.785 Å, 90.00 90.00 90.00°
Sites, in units of the cell vectors:
Ti (0.000, 0.000, 0.000)
Bi (0.500, 0.500, 0.500)
I (0.000, 0.000, 0.500)
O (0.000, 0.500, 0.000)
O (0.500, 0.000, 0.000)

Summary:
formation energy without anion corrections: -0.812 eV per atom
energy above the most stable polymorph in this dataset: 0.000 eV per formula unit

# 13
First-principles (PBE) data for an optimized crystal structure of K3Ba, as listed in Alexandria.

Cell: 8.670 8.670 8.670 Å, 90.00 90.00 90.00°
Sites, in units of the cell vectors:
K (0.000, 0.000, 0.500)
K (0.000, 0.500, 0.000)
K (0.500, 0.000, 0.000)
Ba (0.000, 0.000, 0.000)

# 14
First-principles (PBE) data for an optimized crystal structure of Ba2MnCrGa, as listed in Alexandria.

Cell: 6.220 6.220 4.867 Å, 90.00 90.00 90.00°
Sites, in units of the cell vectors:
Ba (0.000, 0.500, 0.000)
Ba (0.500, 0.000, 0.000)
Mn (0.000, 0.000, 0.500)
Cr (0.500, 0.500, 0.000)
Ga (0.500, 0.500, 0.500)

# 15
First-principles (PBE) data for an optimized crystal structure of TbHo2PaTc2, as listed in Alexandria.

Cell: 8.384 8.384 8.384 Å, 132.71 68.34 133.69°
Sites, in units of the cell vectors:
Tb (0.250, 0.250, 0.000)
Tb (0.750, 0.750, 0.000)
Ho (0.192, 0.722, 0.914)
Ho (0.308, 0.222, 0.531)
Ho (0.692, 0.778, 0.469)
Ho (0.808, 0.278, 0.086)
Pa (0.250, 0.750, 0.500)
Pa (0.750, 0.250, 0.500)
Tc (0.106, 0.298, 0.404)
Tc (0.394, 0.798, 0.193)
Tc (0.606, 0.202, 0.807)
Tc (0.894, 0.702, 0.596)

# 16
First-principles (PBE) data for an optimized crystal structure of Nd3Er2Hg2, as listed in Alexandria.

Cell: 8.623 8.623 8.623 Å, 36.83 36.83 36.83°
Sites, in units of the cell vectors:
Nd (0.000, 0.000, 0.000)
Nd (0.159, 0.159, 0.159)
Nd (0.841, 0.841, 0.841)
Er (0.426, 0.426, 0.426)
Er (0.574, 0.574, 0.574)
Hg (0.289, 0.289, 0.289)
Hg (0.711, 0.711, 0.711)

Summary:
energy above the most stable polymorph in this dataset: 0.000 eV per formula unit

# 17
First-principles (PBE) data for an optimized crystal structure of Pm2Tm5Sn5, as listed in Alexandria.

Cell: 6.839 6.839 11.953 Å, 108.24 108.24 41.44°
Sites, in units of the cell vectors:
Pm (0.073, 0.073, 0.258)
Pm (0.927, 0.927, 0.742)
Tm (0.342, 0.342, 0.195)
Tm (0.349, 0.349, 0.488)
Tm (0.500, 0.500, 0.000)
Tm (0.651, 0.651, 0.512)
Tm (0.658, 0.658, 0.805)
Sn (0.000, 0.000, 0.500)
Sn (0.138, 0.138, 0.973)
Sn (0.258, 0.258, 0.703)
Sn (0.742, 0.742, 0.297)
Sn (0.862, 0.862, 0.027)

# 18
First-principles (PBE) data for an optimized crystal structure of PdSe2Cl, as listed in Alexandria.

Cell: 7.840 7.840 7.840 Å, 28.78 28.78 28.78°
Sites, in units of the cell vectors:
Pd (0.000, 0.000, 0.000)
Se (0.388, 0.388, 0.388)
Se (0.612, 0.612, 0.612)
Cl (0.500, 0.500, 0.500)

Summary:
formation energy without anion corrections: -0.262 eV per atom
energy above the most stable polymorph in this dataset: 0.071 eV per formula unit

# 19
First-principles (PBE) data for an optimized crystal structure of LiPr2TiPt6, as listed in Alexandria.

Cell: 8.367 8.367 8.367 Å, 40.34 40.34 40.34°
Sites, in units of the cell vectors:
Li (0.000, 0.000, 0.000)
Pr (0.208, 0.208, 0.208)
Pr (0.792, 0.792, 0.792)
Ti (0.500, 0.500, 0.500)
Pt (0.241, 0.749, 0.749)
Pt (0.251, 0.251, 0.759)
Pt (0.251, 0.759, 0.251)
Pt (0.749, 0.241, 0.749)
Pt (0.749, 0.749, 0.241)
Pt (0.759, 0.251, 0.251)

# 20
First-principles (PBE) data for an optimized crystal structure of ErScSn, as listed in Alexandria.

Cell: 6.918 6.918 6.918 Å, 151.18 151.18 41.21°
Sites, in units of the cell vectors:
Er (0.000, 0.000, 0.000)
Sc (0.681, 0.681, 0.000)
Sn (0.332, 0.332, 0.000)

Summary:
energy above the most stable polymorph in this dataset: 0.636 eV per formula unit

Table of raw total energy (eV/atom), in record order: -4.13 -3.94 -6.55 -3.09 -6.17 -6.38 -5.31 -3.38 -4.18 -6.55 -3.53 -5.46 -0.72 -4.42 -7.37 -3.66 -4.84 -3.76 -6.29 -5.37